[1]
Below is a crystal of LiSc3Bi relaxed with PBEsol, with properties calculated at the SCAN level.

a = 4.855 Å, b = 4.855 Å, c = 4.855 Å
α = 90.00°, β = 90.00°, γ = 90.00°
Fractional coordinates of all 5 atoms:
Sc 0.000 0.500 0.000
Sc 0.000 0.000 0.500
Sc 0.500 0.000 0.000
Bi 0.500 0.500 0.500
Li 0.000 0.000 0.000

energy of formation from the pure elements: 84 kJ/mol of formula units
crystal system: cubic
space-group type: No. 221

[2]
Below is a crystal of LiBiSe2 relaxed with PBEsol, with properties calculated at the SCAN level.

a = 5.008 Å, b = 5.008 Å, c = 5.008 Å
α = 60.00°, β = 60.00°, γ = 60.00°
Fractional coordinates of all 4 atoms:
Bi 0.500 0.500 0.500
Se 0.250 0.250 0.250
Se 0.750 0.750 0.750
Li 0.000 0.000 0.000

crystal system: cubic
space-group type: No. 225
formation energy without anion corrections: -38.8 kJ/mol of atoms

[3]
Below is a crystal of Li2SiBi2 relaxed with PBEsol, with properties calculated at the SCAN level.

a = 3.188 Å, b = 8.215 Å, c = 8.215 Å
α = 90.00°, β = 90.00°, γ = 90.00°
Fractional coordinates of all 10 atoms:
Si 0.000 0.000 0.000
Si 0.000 0.500 0.500
Bi 0.500 0.188 0.688
Bi 0.500 0.688 0.812
Bi 0.500 0.812 0.312
Bi 0.500 0.312 0.188
Li 0.000 0.386 0.886
Li 0.000 0.886 0.614
Li 0.000 0.614 0.114
Li 0.000 0.114 0.386

crystal system: tetragonal
space-group type: No. 127
formation energy without anion corrections: 9.9 kJ/mol of atoms

[4]
Below is a crystal of Li3SmBi2 relaxed with PBEsol, with properties calculated at the SCAN level.

a = 4.632 Å, b = 4.632 Å, c = 7.273 Å
α = 90.00°, β = 90.00°, γ = 120.00°
Fractional coordinates of all 6 atoms:
Bi 0.333 0.667 0.750
Bi 0.667 0.333 0.250
Sm 0.000 0.000 0.000
Li 0.333 0.667 0.348
Li 0.667 0.333 0.652
Li 0.000 0.000 0.500

energy of formation from the pure elements: -442 kJ/mol of formula units
crystal system: trigonal
space-group type: No. 164

[5]
Below is a crystal of Li2Sn2Bi relaxed with PBEsol, with properties calculated at the SCAN level.

a = 3.275 Å, b = 8.368 Å, c = 8.368 Å
α = 90.00°, β = 90.00°, γ = 90.00°
Fractional coordinates of all 10 atoms:
Li 0.500 0.174 0.674
Li 0.500 0.674 0.826
Li 0.500 0.826 0.326
Li 0.500 0.326 0.174
Bi 0.000 0.000 0.000
Bi 0.000 0.500 0.500
Sn 0.000 0.375 0.875
Sn 0.000 0.875 0.625
Sn 0.000 0.625 0.125
Sn 0.000 0.125 0.375

energy of formation from the pure elements: -118 kJ/mol of formula units
crystal system: tetragonal
space-group type: No. 127

[6]
Below is a crystal of Li2SnBi2 relaxed with PBEsol, with properties calculated at the SCAN level.

a = 3.183 Å, b = 8.754 Å, c = 8.754 Å
α = 90.00°, β = 90.00°, γ = 90.00°
Fractional coordinates of all 10 atoms:
Li 0.500 0.123 0.623
Li 0.500 0.623 0.877
Li 0.500 0.877 0.377
Li 0.500 0.377 0.123
Bi 0.000 0.327 0.827
Bi 0.000 0.827 0.673
Bi 0.000 0.673 0.173
Bi 0.000 0.173 0.327
Sn 0.000 0.000 0.000
Sn 0.000 0.500 0.500

energy of formation from the pure elements: -133 kJ/mol of formula units
crystal system: tetragonal
space-group type: No. 127

DFT total energy values (in eV per atom) by entry order: -24.56, -30.68, -34.29, -35.56, -31.28, -39.85.